No. 1
First-principles (GGA-PBE) data for a relaxed LaTaSn crystal, as listed in OQMD via LeMat-Bulk.

Summary:
- Theoretical density: 8.3 g cm⁻³
- Offset from the most stable computed form: 0 kJ/mol of formula units

abc: 7.059 7.059 7.059
angles: 90.00 90.00 90.00
Space group F-43m (No. 216)
Unique sites:
1 La 0.000 0.000 0.000 [4 per cell]
2 Ta 0.000 0.000 0.500 [4 per cell]
3 Sn 0.250 0.250 0.250 [4 per cell]

---

No. 2
First-principles (GGA-PBE) data for a relaxed YHoSb2 crystal, as listed in OQMD via LeMat-Bulk.

Summary:
- VASP energy: -0.43813 Ry/atom
- Theoretical density: 7.0 g cm⁻³

abc: 4.376 4.376 6.189
angles: 90.00 90.00 90.00
Space group P4/mmm (No. 123)
Unique sites:
1 Y 0.000 0.000 0.000 [1 per cell]
2 Ho 0.500 0.500 0.500 [1 per cell]
3 Sb 0.000 0.000 0.500 [1 per cell]
4 Sb 0.500 0.500 0.000 [1 per cell]

---

No. 3
First-principles (GGA-PBE) data for a relaxed CsNdTa2O7 crystal, as listed in OQMD via LeMat-Bulk.

Summary:
- VASP energy: -0.64075 Ry/atom
- Theoretical density: 7.3 g cm⁻³

abc: 3.879 3.879 11.303
angles: 90.00 90.00 90.00
Space group P4/mmm (No. 123)
Unique sites:
1 Cs 0.000 0.000 0.000 [1 per cell]
2 Nd 0.000 0.000 0.500 [1 per cell]
3 Ta 0.500 0.500 0.302 [2 per cell]
4 O 0.000 0.500 0.341 [4 per cell]
5 O 0.500 0.500 0.142 [2 per cell]
6 O 0.500 0.500 0.500 [1 per cell]

---

No. 4
First-principles (GGA-PBE) data for a relaxed KBePbAu crystal, as listed in OQMD via LeMat-Bulk.

Summary:
- Theoretical density: 7.8 g cm⁻³
- Offset from the most stable computed form: 0 kJ/mol of formula units

abc: 7.283 7.283 7.283
angles: 90.00 90.00 90.00
Space group F-43m (No. 216)
Unique sites:
1 K 0.000 0.000 0.000 [4 per cell]
2 Be 0.250 0.250 0.750 [4 per cell]
3 Pb 0.000 0.000 0.500 [4 per cell]
4 Au 0.250 0.250 0.250 [4 per cell]